1.
Compound: Li12Zn3Cu
Source: Alexandria
Functional: PBE
Structure: relaxed

Total energy ... -1.988 eV per atom
Formation energy ... -0.06 eV per atom

Unit cell a=4.041 b=4.041 c=15.942 alpha=90.00 beta=90.00 gamma=90.00
Sites, in units of the cell vectors:
Li (0.500, 0.500, 0.000)
Li (0.500, 0.500, 0.247)
Li (0.500, 0.500, 0.500)
Li (0.500, 0.500, 0.753)
Li (0.500, 0.000, 0.120)
Li (0.500, 0.000, 0.374)
Li (0.500, 0.000, 0.626)
Li (0.500, 0.000, 0.880)
Li (0.000, 0.500, 0.120)
Li (0.000, 0.500, 0.374)
Li (0.000, 0.500, 0.626)
Li (0.000, 0.500, 0.880)
Zn (0.000, 0.000, 0.247)
Zn (0.000, 0.000, 0.500)
Zn (0.000, 0.000, 0.753)
Cu (0.000, 0.000, 0.000)


2.
Compound: K2TaCd
Source: Alexandria
Functional: PBE
Structure: relaxed

Total energy ... -2.552 eV per atom
Formation energy ... 1.19 eV per atom

Unit cell a=6.773 b=6.773 c=6.773 alpha=142.70 beta=142.70 gamma=53.77
Sites, in units of the cell vectors:
Cd (0.750, 0.250, 0.500)
K (0.000, 0.000, 0.000)
K (0.500, 0.500, 0.000)
Ta (0.250, 0.750, 0.500)